*A*
VASP calculation (PBE-GGA) on CaPHS2 after structural relaxation.

```
data_CaPHS2
_cell_length_a 5.3790
_cell_length_b 5.3790
_cell_length_c 5.7059
_cell_angle_alpha 90.00
_cell_angle_beta 90.00
_cell_angle_gamma 90.00
_symmetry_space_group_name_H-M 'P 4/m m m'
_symmetry_Int_Tables_number 123
_symmetry_space_group_name_Hall '-P 4 2'
loop_
_atom_site_label
_atom_site_fract_x
_atom_site_fract_y
_atom_site_fract_z
Ca1 0.0000 0.0000 0.0000
P1 0.0000 0.0000 0.5000
H1 0.5000 0.5000 0.5000
S1 0.0000 0.5000 0.0000
```

=====

*B*
VASP calculation (PBE-GGA) on CaPHS2 after structural relaxation.

```
data_CaPHS2
_cell_length_a 4.8850
_cell_length_b 4.8850
_cell_length_c 3.2834
_cell_angle_alpha 90.00
_cell_angle_beta 90.00
_cell_angle_gamma 90.00
_symmetry_space_group_name_H-M 'P 4/m m m'
_symmetry_Int_Tables_number 123
_symmetry_space_group_name_Hall '-P 4 2'
loop_
_atom_site_label
_atom_site_fract_x
_atom_site_fract_y
_atom_site_fract_z
Ca1 0.0000 0.0000 0.0000
P1 0.5000 0.5000 0.0000
H1 0.5000 0.5000 0.5000
S1 0.0000 0.5000 0.5000
```

=====

Comparing the structures above, *B* comes out on top by 1135 meV per atom.